1.
This record from Alexandria via LeMat-Bulk describes a geometry-optimized AcCeSiAu structure. The functional is PBE.

Values from the calculation:
* crystal system: cubic
* formation energy (no corrections): -0.496 eV per atom
* symmetry: F-43m
* energy: -5.18 eV per atom

Geometry as CIF:
```
data_AcCeSiAu
_symmetry_space_group_name_H-M 'P 1'
_symmetry_Int_Tables_number 1
_symmetry_space_group_name_Hall 'P 1'
_cell_length_a 5.354
_cell_length_b 5.354
_cell_length_c 5.354
_cell_angle_alpha 60.00
_cell_angle_beta 60.00
_cell_angle_gamma 60.00
loop_
_atom_site_label
_atom_site_type_symbol
_atom_site_fract_x
_atom_site_fract_y
_atom_site_fract_z
_atom_site_occupancy
Si1 Si 0.250 0.250 0.250 1
Ce1 Ce 0.000 0.000 0.000 1
Au1 Au 0.750 0.750 0.750 1
Ac1 Ac 0.500 0.500 0.500 1
```

=====

2.
This record from Alexandria via LeMat-Bulk describes a geometry-optimized Cd2PAu structure. The functional is PBE.

Values from the calculation:
* crystal system: tetragonal
* symmetry: I4/mmm
* calculated formation energy: 0.60 eV per formula unit
* energy: -2.48 eV per atom

Geometry as CIF:
```
data_Cd2PAu
_symmetry_space_group_name_H-M 'P 1'
_symmetry_Int_Tables_number 1
_symmetry_space_group_name_Hall 'P 1'
_cell_length_a 5.070
_cell_length_b 5.070
_cell_length_c 5.070
_cell_angle_alpha 128.33
_cell_angle_beta 128.38
_cell_angle_gamma 76.05
loop_
_atom_site_label
_atom_site_type_symbol
_atom_site_fract_x
_atom_site_fract_y
_atom_site_fract_z
_atom_site_occupancy
Cd1 Cd 0.000 0.000 0.000 1
Cd2 Cd 0.500 0.500 0.000 1
P1 P 0.750 0.250 0.500 1
Au1 Au 0.250 0.750 0.500 1
```

=====

3.
This record from Alexandria via LeMat-Bulk describes a geometry-optimized La3PrDy structure. The functional is PBE.

Values from the calculation:
* crystal system: orthorhombic
* symmetry: Cmcm
* calculated formation energy: 0.96 eV per formula unit
* energy: -4.64 eV per atom
* ΔE to the lowest computed polymorph: 0.027 eV per atom

Geometry as CIF:
```
data_La3PrDy
_symmetry_space_group_name_H-M 'P 1'
_symmetry_Int_Tables_number 1
_symmetry_space_group_name_Hall 'P 1'
_cell_length_a 6.078
_cell_length_b 5.782
_cell_length_c 12.157
_cell_angle_alpha 90.00
_cell_angle_beta 90.00
_cell_angle_gamma 121.71
loop_
_atom_site_label
_atom_site_type_symbol
_atom_site_fract_x
_atom_site_fract_y
_atom_site_fract_z
_atom_site_occupancy
La1 La 0.645 0.291 0.399 1
Dy1 Dy 0.297 0.594 0.250 1
La2 La 0.645 0.291 0.101 1
La3 La 0.355 0.709 0.601 1
Dy2 Dy 0.703 0.406 0.750 1
La4 La 0.355 0.709 0.899 1
La5 La 0.948 0.897 0.250 1
La6 La 0.052 0.103 0.750 1
Pr1 Pr 0.000 0.000 0.000 1
Pr2 Pr 0.000 0.000 0.500 1
```

=====

4.
This record from Alexandria via LeMat-Bulk describes a geometry-optimized MgInCu2 structure. The functional is PBE.

Values from the calculation:
* crystal system: trigonal
* symmetry: R-3m
* calculated formation energy: 0.62 eV per formula unit
* energy: -2.98 eV per atom

Geometry as CIF:
```
data_MgInCu2
_symmetry_space_group_name_H-M 'P 1'
_symmetry_Int_Tables_number 1
_symmetry_space_group_name_Hall 'P 1'
_cell_length_a 8.521
_cell_length_b 8.521
_cell_length_c 8.521
_cell_angle_alpha 21.26
_cell_angle_beta 21.26
_cell_angle_gamma 21.26
loop_
_atom_site_label
_atom_site_type_symbol
_atom_site_fract_x
_atom_site_fract_y
_atom_site_fract_z
_atom_site_occupancy
Cu1 Cu 0.500 0.500 0.500 1
Cu2 Cu 0.000 0.000 0.000 1
Mg1 Mg 0.250 0.250 0.250 1
In1 In 0.750 0.750 0.750 1
```

=====

5.
This record from Alexandria via LeMat-Bulk describes a geometry-optimized Zr2Cu4S5 structure. The functional is PBE.

Values from the calculation:
* crystal system: trigonal
* formation energy (no corrections): -0.682 eV per atom
* symmetry: R-3m
* energy: -5.60 eV per atom

Geometry as CIF:
```
data_Zr2Cu4S5
_symmetry_space_group_name_H-M 'P 1'
_symmetry_Int_Tables_number 1
_symmetry_space_group_name_Hall 'P 1'
_cell_length_a 3.738
_cell_length_b 3.738
_cell_length_c 15.846
_cell_angle_alpha 83.23
_cell_angle_beta 83.23
_cell_angle_gamma 60.00
loop_
_atom_site_label
_atom_site_type_symbol
_atom_site_fract_x
_atom_site_fract_y
_atom_site_fract_z
_atom_site_occupancy
Cu1 Cu 0.585 0.585 0.245 1
S1 S 0.500 0.500 0.500 1
S2 S 0.231 0.231 0.307 1
Cu2 Cu 0.688 0.688 0.937 1
S3 S 0.367 0.367 0.898 1
Cu3 Cu 0.312 0.312 0.063 1
S4 S 0.769 0.769 0.693 1
Zr1 Zr 0.137 0.137 0.588 1
Cu4 Cu 0.415 0.415 0.755 1
Zr2 Zr 0.863 0.863 0.412 1
S5 S 0.633 0.633 0.102 1
```

=====

6.
This record from Alexandria via LeMat-Bulk describes a geometry-optimized Cs2NaSiAs2 structure. The functional is PBE.

Values from the calculation:
* crystal system: orthorhombic
* formation energy (no corrections): -0.318 eV per atom
* symmetry: Ibam
* energy: -3.28 eV per atom

Geometry as CIF:
```
data_Cs2NaSiAs2
_symmetry_space_group_name_H-M 'P 1'
_symmetry_Int_Tables_number 1
_symmetry_space_group_name_Hall 'P 1'
_cell_length_a 7.123
_cell_length_b 6.690
_cell_length_c 9.819
_cell_angle_alpha 109.92
_cell_angle_beta 111.27
_cell_angle_gamma 90.00
loop_
_atom_site_label
_atom_site_type_symbol
_atom_site_fract_x
_atom_site_fract_y
_atom_site_fract_z
_atom_site_occupancy
Cs1 Cs 0.413 0.169 0.339 1
Cs2 Cs 0.926 0.669 0.339 1
Na1 Na 0.000 0.750 0.000 1
Si1 Si 0.500 0.250 0.000 1
Na2 Na 0.000 0.250 0.000 1
As1 As 0.227 0.924 0.848 1
Si2 Si 0.500 0.750 0.000 1
As2 As 0.620 0.424 0.848 1
Cs3 Cs 0.074 0.331 0.661 1
Cs4 Cs 0.587 0.831 0.661 1
As3 As 0.380 0.576 0.152 1
As4 As 0.773 0.076 0.152 1
```